Below is a relaxed Cu2SiSb crystal, with properties calculated at the PBE level.

Mass density   6.72 g cm⁻³
Raw formation energy   0.48 eV/atom
Relative energy among the computed polymorphs   331 meV/atom
Calculated volume   17.1 A^3/atom
Energy   -3.95 eV/atom

a = 4.591 Å, b = 4.591 Å, c = 4.591 Å
α = 60.00°, β = 60.00°, γ = 60.00°
Atoms (fractional coordinates):
Cu  0.250  0.250  0.250
Si  0.750  0.750  0.750
Sb  0.500  0.500  0.500
Cu  0.000  0.000  0.000